# LaSn3Pd, relaxed, DFT PBE
# Formation enthalpy at 0 K ... 1.01 eV/atom
data_LaSn3Pd
_chemical_formula_sum 'La1 Sn3 Pd1'
_cell_length_a 5.9510
_cell_length_b 5.9510
_cell_length_c 5.9510
_cell_angle_alpha 90.00
_cell_angle_beta 90.00
_cell_angle_gamma 90.00
_space_group_name_H-M_alt 'P m -3 m'
_space_group_IT_number 221
_space_group_name_Hall '-P 4 2 3'
loop_
_atom_site_label
_atom_site_type_symbol
_atom_site_fract_x
_atom_site_fract_y
_atom_site_fract_z
La1 La 0.0000 0.0000 0.0000
Sn1 Sn 0.0000 0.0000 0.5000
Pd1 Pd 0.5000 0.5000 0.5000

=====

# La3SnPd8, relaxed, DFT PBE
# Formation enthalpy at 0 K ... -0.75 eV/atom
data_La3SnPd8
_chemical_formula_sum 'La9 Sn3 Pd24'
_cell_length_a 5.5601
_cell_length_b 5.5601
_cell_length_c 27.1021
_cell_angle_alpha 90.00
_cell_angle_beta 90.00
_cell_angle_gamma 120.00
_space_group_name_H-M_alt 'R 3 m'
_space_group_IT_number 160
_space_group_name_Hall 'R 3 -2"'
loop_
_atom_site_label
_atom_site_type_symbol
_atom_site_fract_x
_atom_site_fract_y
_atom_site_fract_z
La1 La 0.0000 0.0000 0.0000
La2 La 0.0000 0.0000 0.1312
La3 La 0.0000 0.0000 0.6083
Sn1 Sn 0.0000 0.0000 0.4811
Pd1 Pd 0.0000 0.0000 0.3112
Pd2 Pd 0.0000 0.0000 0.8116
Pd3 Pd 0.0032 0.5016 0.5620
Pd4 Pd 0.1685 0.3370 0.3934

=====

# La3Sn2Pd4, relaxed, DFT PBE
# Formation enthalpy at 0 K ... -0.86 eV/atom
data_La3Sn2Pd4
_chemical_formula_sum 'La6 Sn4 Pd8'
_cell_length_a 10.3567
_cell_length_b 4.6884
_cell_length_c 8.9919
_cell_angle_alpha 90.00
_cell_angle_beta 95.37
_cell_angle_gamma 90.00
_space_group_name_H-M_alt 'C 1 2/m 1'
_space_group_IT_number 12
loop_
_space_group_symop_operation_xyz
'x,y,z'
'-x,-y,-z'
'-x,y,-z'
'x,-y,z'
'x+1/2,y+1/2,z'
'-x+1/2,-y+1/2,-z'
'-x+1/2,y+1/2,-z'
'x+1/2,-y+1/2,z'
loop_
_atom_site_label
_atom_site_type_symbol
_atom_site_fract_x
_atom_site_fract_y
_atom_site_fract_z
La1 La 0.0000 0.0000 0.0000
La2 La 0.1269 0.5000 0.3855
Sn1 Sn 0.1759 0.5000 0.7816
Pd1 Pd 0.0822 0.0000 0.6308
Pd2 Pd 0.2242 0.5000 0.0885

=====

no.,DOS(E_F) (states/eV/f.u.)
1,3.75
2,7.43
3,6.00